First-principles (PBE) data for a relaxed structure of BaLiSnPd2, as listed in Alexandria.

a = 4.457 Å, b = 4.457 Å, c = 11.794 Å
α = 90.00°, β = 90.00°, γ = 90.00°
Sites, in units of the cell vectors:
Ba: 0.000 0.000 0.000
Ba: 0.500 0.500 0.500
Li: 0.000 0.500 0.250
Li: 0.500 0.000 0.750
Sn: 0.000 0.500 0.750
Sn: 0.500 0.000 0.250
Pd: 0.000 0.000 0.381
Pd: 0.000 0.000 0.619
Pd: 0.500 0.500 0.119
Pd: 0.500 0.500 0.881

Calculated values
* formation energy: -610 meV per atom
* space group: I-4m2
* crystal system: tetragonal



First-principles (PBE) data for a relaxed structure of KTcTe2N, as listed in Alexandria.

a = 6.041 Å, b = 6.041 Å, c = 4.718 Å
α = 90.00°, β = 90.00°, γ = 90.00°
Sites, in units of the cell vectors:
K: 0.000 0.000 0.000
Tc: 0.500 0.500 0.500
Te: 0.000 0.500 0.000
Te: 0.500 0.000 0.000
N: 0.000 0.000 0.500

Calculated values
* excess energy over the best structure of this formula in the dataset: 2.079 eV/atom
* ΔE_f (raw): 2.065 eV per atom
* space group: P4/mmm
* crystal system: tetragonal